First-principles (GGA-PBE) data for CuTeSI2 after structural relaxation, as listed in Alexandria.

Structure (extended XYZ):
```
5
Lattice="5.4694 0.0000 0.0000 0.0000 5.4694 0.0000 0.0000 0.0000 5.3838" Properties=species:S:1:pos:R:3 pbc="T T T"
I 0.0000 2.7347 0.0000
I 2.7347 0.0000 0.0000
S 0.0000 0.0000 0.0000
Te 0.0000 0.0000 2.6919
Cu 2.7347 2.7347 2.6919
```

Summary:
ΔE_f (raw)   0.76 eV per atom
Space-group type   P4/mmm, No. 123
Energy above the lowest structure with this stoichiometry   9.4 kJ per mole of atoms
Crystal system   tetragonal